Compound: GeBRh2
Source: Alexandria
Functional: PBE
Structure: optimized geometry

As for the distance to the lowest polymorph of the same formula: 0.000 eV per atom. The raw total energy is -6.841 eV per atom. Its formation energy is -33.0 kJ/mol of atoms.

a = 3.1573 Å, b = 3.1573 Å, c = 18.1606 Å
α = 90.00°, β = 90.00°, γ = 120.00°
Closest atoms and distances in Å follow each position.
Space group R3m (No. 160, hexagonal axes)
Unique sites:
Ge: 0.0000 0.0000 0.0000  6 Rh 2.57-2.66
B: 0.0000 0.0000 0.1649  6 Rh 2.14-2.17
Rh: 0.0000 0.0000 0.5597  3 B 2.14
Rh: 0.0000 0.0000 0.7664  3 B 2.17